Crystalline TlMoP2O6 at its relaxed geometry, computed with GGA+U.

Results
**Theoretical density**: 4.51 g/cm3
**Total magnetic moment**: 5.002 μB per formula unit
**Final energy**: -6.582 eV/atom
**Volume**: 16.856 Å³/atom

Lattice parameters (Å, degrees): 5.3431 5.3431 20.4526 90.00 90.00 120.00
Space group R-3 (No. 148, hexagonal axes)
Symmetry-distinct sites (fractional):
1 Tl 0.0000 0.0000 0.0000 x3
2 Mo 0.0000 0.0000 0.5000 x3
3 P 0.0000 0.0000 0.2467 x6
4 O 0.0294 0.4180 0.8953 x18